Entry 1:
DFT (SCAN) results for a PBEsol-optimized structure of LiBe2Cr.

extended XYZ file:
```
4
Lattice="2.3970 0.0000 0.0000 0.0000 4.0312 0.0000 -1.1985 -2.0156 4.0596" Properties=species:S:1:pos:R:3 pbc="T T T"
Li 0.0000 2.0156 0.0000
Cr 1.1985 0.0000 0.0000
Be 1.1985 2.0156 1.9820
Be 0.0000 0.0000 2.0776
```

Results
* E_form: 11.4 kcal/mol of atoms
* D(E_F): 0.444 states/eV/atom
* space-group type: No. 71
* energy above the lowest structure with this stoichiometry: 290 meV per atom

---

Entry 2:
DFT (SCAN) results for a PBEsol-optimized structure of BaCr2Cd.

extended XYZ file:
```
4
Lattice="3.1060 0.0000 0.0000 -1.5530 4.9289 0.2142 0.0000 -1.5669 5.9308" Properties=species:S:1:pos:R:3 pbc="T T T"
Cr 0.0000 2.1309 0.7333
Cr 1.5530 1.2311 5.4117
Cd 1.5530 0.0000 0.0000
Ba 0.0000 -0.7834 2.9654
```

Results
* E_form: 19.5 kcal/mol of atoms
* D(E_F): 0.884 states/eV/atom
* space-group type: No. 12

---

Entry 3:
DFT (SCAN) results for a PBEsol-optimized structure of CaMg4Pt.

extended XYZ file:
```
6
Lattice="5.5987 0.0000 0.0000 2.7994 4.8486 0.0000 2.7994 1.6162 4.5713" Properties=species:S:1:pos:R:3 pbc="T T T"
Pt 8.3981 4.8486 3.4285
Mg 5.5987 3.2324 3.9823
Mg 6.9840 2.4326 1.7201
Mg 4.2134 2.4326 1.7201
Mg 5.5987 4.8320 1.7201
Ca 0.0000 0.0000 0.0000
```

Results
* E_form: -3.5 kcal/mol of atoms
* D(E_F): 0.105 states/eV/atom
* space-group type: No. 216

---

Entry 4:
DFT (SCAN) results for a PBEsol-optimized structure of GeP2Ir.

extended XYZ file:
```
4
Lattice="-0.3031 -2.9037 -3.2121 3.4487 -0.8410 -2.4981 2.0374 -3.8188 0.3271" Properties=species:S:1:pos:R:3 pbc="T T T"
P 3.8872 -5.6726 -4.0373
P 1.2957 -1.8909 -1.3458
Ge 0.0000 0.0000 0.0000
Ir 2.5914 -3.7817 -2.6915
```

Results
* E_form: 11.2 kcal/mol of atoms
* D(E_F): 0.381 states/eV/atom
* space-group type: No. 225

---

Entry 5:
DFT (SCAN) results for a PBEsol-optimized structure of NaTePb2Br.

extended XYZ file:
```
5
Lattice="-4.7738 -0.7619 2.9019 0.9224 -5.5621 0.0570 3.0353 0.5560 5.1392" Properties=species:S:1:pos:R:3 pbc="T T T"
Pb -2.3869 -0.3810 1.4510
Pb 0.4612 -2.7810 0.0285
Br 0.0000 0.0000 0.0000
Te 1.5177 0.2780 2.5696
Na -0.4080 -2.8840 4.0491
```

Results
* D(E_F): 0.865 states/eV/atom
* uncorrected formation energy: 0.24 eV/atom
* space-group type: No. 123

---

Entry 6:
DFT (SCAN) results for a PBEsol-optimized structure of CoCu2Pt.

extended XYZ file:
```
4
Lattice="3.6491 0.0000 0.0000 0.0000 3.6491 0.0000 -1.8245 -1.8245 3.6540" Properties=species:S:1:pos:R:3 pbc="T T T"
Cu 1.8245 0.0000 1.8270
Cu 0.0000 1.8245 1.8270
Co 0.0000 0.0000 0.0000
Pt 1.8245 1.8245 0.0000
```

Results
* E_form: -0.9 kcal/mol of atoms
* D(E_F): 0.532 states/eV/atom
* space-group type: No. 139

---

Entry 7:
DFT (SCAN) results for a PBEsol-optimized structure of Be2InCl.

extended XYZ file:
```
4
Lattice="2.8878 0.0000 0.0000 0.0000 4.7575 0.0289 0.0000 -0.0351 4.7574" Properties=species:S:1:pos:R:3 pbc="T T T"
Be 0.0000 2.3787 0.0145
Be 0.0000 -0.0175 2.3787
Cl 1.4439 0.0000 0.0000
In 1.4439 2.3612 2.3932
```

Results
* D(E_F): 0.340 states/eV/atom
* uncorrected formation energy: 0.62 eV/atom
* space-group type: No. 65
* energy above the lowest structure with this stoichiometry: 338 meV per atom

---

Entry 8:
DFT (SCAN) results for a PBEsol-optimized structure of RbAs2PdBr.

extended XYZ file:
```
5
Lattice="4.6747 0.0000 0.0000 0.0000 4.6747 0.0000 0.0000 0.0000 7.1922" Properties=species:S:1:pos:R:3 pbc="T T T"
Br 0.0000 0.0000 3.5961
Pd 0.0000 0.0000 0.0000
Rb 2.3374 2.3374 3.5961
As 0.0000 2.3374 0.0000
As 2.3374 0.0000 0.0000
```

Results
* D(E_F): 0.518 states/eV/atom
* uncorrected formation energy: -0.27 eV/atom
* space-group type: No. 123

---

Entry 9:
DFT (SCAN) results for a PBEsol-optimized structure of CaLaFeSbO6.

extended XYZ file:
```
20
Lattice="5.5262 0.0574 -0.0166 -0.0596 5.7424 0.0048 -0.0624 -0.0073 7.8252" Properties=species:S:1:pos:R:3 pbc="T T T"
O 4.9298 2.7539 1.9433
O 2.1616 0.1844 5.8621
O 3.1938 5.5798 1.9477
O 3.7526 4.1108 7.4320
O 3.8295 4.0510 4.2685
O 1.5964 1.7751 3.5280
O 0.4256 3.0659 5.8670
O 4.4184 1.2328 4.3038
O 4.3342 1.1486 7.4320
O 1.0896 4.6117 0.3635
O 1.6805 1.6982 0.3998
O 1.0178 4.5430 3.5268
La 0.0639 0.2921 1.9586
La 2.7728 2.6018 5.8643
Fe 5.4961 2.9365 -0.0103
Fe 2.6725 5.7594 3.9130
Ca 2.6290 3.2232 1.9553
Ca 5.3379 5.4672 5.8627
Sb -0.0606 2.8766 3.9067
Sb 2.6407 5.7549 7.8133
```

Results
* D(E_F): 0.078 states/eV/atom
* uncorrected formation energy: -2.52 eV/atom
* space-group type: No. 7

---

Entry 10:
DFT (SCAN) results for a PBEsol-optimized structure of BaP2S2.

extended XYZ file:
```
5
Lattice="-2.9222 2.2263 -4.4985 2.5526 -3.8228 -3.5501 -4.6646 -4.0618 1.0199" Properties=species:S:1:pos:R:3 pbc="T T T"
P -2.3323 -2.0309 0.5100
P -2.5172 -2.8291 -3.5143
S 1.2763 -1.9114 -1.7750
S -1.4611 1.1132 -2.2493
Ba 0.0000 0.0000 0.0000
```

Results
* D(E_F): 1.404 states/eV/atom
* uncorrected formation energy: 1.22 eV/atom
* space-group type: No. 123
* energy above the lowest structure with this stoichiometry: 0 meV per atom

---

Entry 11:
DFT (SCAN) results for a PBEsol-optimized structure of AlHgMo2.

extended XYZ file:
```
4
Lattice="-2.0760 1.9423 1.7304 -3.2318 -0.6629 -3.1333 1.2593 -4.0557 2.8626" Properties=species:S:1:pos:R:3 pbc="T T T"
Hg -2.2978 -2.0018 -0.5099
Mo -1.7178 -0.6940 1.9187
Mo -0.0461 -0.1128 0.0714
Al -1.3814 -3.3837 2.1407
```

Results
* E_form: 4.3 kcal/mol of atoms
* D(E_F): 0.643 states/eV/atom
* space-group type: No. 44
* energy above the lowest structure with this stoichiometry: 0 meV per atom

---

Entry 12:
DFT (SCAN) results for a PBEsol-optimized structure of Si3OsF.

extended XYZ file:
```
5
Lattice="4.0664 0.0000 0.0000 0.0000 4.0664 0.0000 0.0000 0.0000 4.0664" Properties=species:S:1:pos:R:3 pbc="T T T"
Si 0.0000 2.0332 0.0000
Si 0.0000 0.0000 2.0332
Si 2.0332 0.0000 0.0000
Os 2.0332 2.0332 2.0332
F 0.0000 0.0000 0.0000
```

Results
* D(E_F): 0.344 states/eV/atom
* uncorrected formation energy: 0.77 eV/atom
* space-group type: No. 221

---

Entry 13:
DFT (SCAN) results for a PBEsol-optimized structure of Mg3Br.

extended XYZ file:
```
8
Lattice="-2.7516 4.7196 -2.1730 -5.6206 -3.1175 0.3461 2.0143 3.5973 5.2623" Properties=species:S:1:pos:R:3 pbc="T T T"
Mg -2.1788 3.8345 -0.8436
Mg -4.1791 1.3648 4.2791
Mg -5.3319 -0.4195 1.8636
Mg -2.2913 1.2670 1.6764
Mg -4.0665 3.9323 1.7591
Mg -1.0259 5.6188 1.5718
Br -2.7950 5.4128 3.3645
Br -3.5628 -0.2134 0.0710
```

Results
* D(E_F): 0.304 states/eV/atom
* uncorrected formation energy: -0.14 eV/atom
* space-group type: No. 63

---

Entry 14:
DFT (SCAN) results for a PBEsol-optimized structure of TaTc2Br.

extended XYZ file:
```
4
Lattice="-1.5392 -2.0327 1.7846 0.7332 -3.2076 -3.0212 3.8126 -1.0738 2.0653" Properties=species:S:1:pos:R:3 pbc="T T T"
Ta -0.7696 -1.0164 0.8923
Tc 1.9063 -0.5369 1.0326
Tc 0.3666 -1.6038 -1.5106
Br 1.5033 -3.1571 0.4143
```

Results
* D(E_F): 0.327 states/eV/atom
* uncorrected formation energy: 0.62 eV/atom
* space-group type: No. 123
* energy above the lowest structure with this stoichiometry: 248 meV per atom

---

Entry 15:
DFT (SCAN) results for a PBEsol-optimized structure of InTcBr2.

extended XYZ file:
```
4
Lattice="3.2058 0.0000 0.0000 0.0000 3.2058 0.0000 0.0000 0.0000 8.1530" Properties=species:S:1:pos:R:3 pbc="T T T"
Br 0.0000 0.0000 7.5424
Br 1.6029 1.6029 2.3722
Tc 1.6029 1.6029 6.1504
In 0.0000 0.0000 4.3175
```

Results
* D(E_F): 0.336 states/eV/atom
* uncorrected formation energy: 0.23 eV/atom
* space-group type: No. 99
* energy above the lowest structure with this stoichiometry: 0 meV per atom

---

Entry 16:
DFT (SCAN) results for a PBEsol-optimized structure of CsLaMo2O8.

extended XYZ file:
```
24
Lattice="7.6516 -0.0094 -0.0260 0.1049 7.6509 -0.0260 3.6557 3.6015 5.8997" Properties=species:S:1:pos:R:3 pbc="T T T"
O 2.6983 1.5801 1.7501
O 9.4297 6.9522 3.7315
O 6.7792 5.1091 3.0679
O 5.3220 6.2904 5.4595
O 6.0902 4.9525 0.3882
O 3.4481 4.4751 4.7000
O 8.7139 9.6628 4.0976
O 1.9825 4.2908 2.1161
O 8.0303 6.3415 5.7296
O 4.6330 6.1339 2.7798
O 7.9641 6.7678 1.1477
O 4.5414 3.4267 2.5096
O 5.2645 7.5241 0.7817
O 6.1478 3.7189 5.0660
O 6.8708 7.8163 3.3381
O 3.3820 4.9014 0.1180
La 8.6663 4.4447 4.3988
La 2.7459 6.7982 1.4489
Mo 5.0934 5.0067 4.3062
Mo 3.2544 3.2173 1.3563
Mo 6.3188 6.2362 1.5415
Mo 8.1578 8.0257 4.4913
Cs 4.3093 8.8673 4.3988
Cs 7.1029 2.3756 1.4489
```

Results
* D(E_F): 0.000 states/eV/atom
* uncorrected formation energy: -2.64 eV/atom
* space-group type: No. 15

---

Entry 17:
DFT (SCAN) results for a PBEsol-optimized structure of LaSnAsH2.

extended XYZ file:
```
5
Lattice="-2.6214 2.8640 1.7944 -3.0112 -0.9480 -2.8859 -2.1499 -4.2475 3.6387" Properties=species:S:1:pos:R:3 pbc="T T T"
Sn -3.8913 -1.1658 1.2736
La 0.0000 0.0000 0.0000
As -1.0750 -2.1238 1.8193
H -1.3107 1.4320 0.8972
H -1.5056 -0.4740 -1.4429
```

Results
* D(E_F): 0.448 states/eV/atom
* total DFT energy (no corrections): -107.00 eV/cell
* space-group type: No. 123

---

Entry 18:
DFT (SCAN) results for a PBEsol-optimized structure of Pr3RuBr3.

extended XYZ file:
```
14
Lattice="-3.8153 0.9019 1.3628 -1.2772 -8.5172 2.0613 4.4685 2.5566 10.8179" Properties=species:S:1:pos:R:3 pbc="T T T"
Ru -0.2279 1.3363 7.9584
Ru -0.3961 -6.3949 6.2837
Pr -1.2887 0.7281 5.3910
Pr -2.0294 -4.1332 6.5347
Pr 0.7505 1.8175 10.3790
Pr -1.3745 -6.8761 3.8631
Pr 1.4054 -0.9254 7.7074
Pr 0.6647 -5.7867 8.8511
Br -2.5129 -0.0900 2.5053
Br 1.8889 -4.9686 11.7367
Br 2.4913 -0.6023 10.5335
Br -3.1153 -4.4563 3.7085
Br -0.8106 -2.8396 9.0907
Br 0.1866 -2.2190 5.1513
```

Results
* D(E_F): 0.055 states/eV/atom
* uncorrected formation energy: -1.43 eV/atom
* space-group type: No. 11

---

Entry 19:
DFT (SCAN) results for a PBEsol-optimized structure of ZnInBr4.

extended XYZ file:
```
6
Lattice="6.2076 0.0000 0.0000 3.1038 5.3759 0.0000 3.1038 1.7920 5.0685" Properties=species:S:1:pos:R:3 pbc="T T T"
In 9.3114 5.3759 3.8014
Br 6.2076 5.3881 1.8964
Br 6.2076 3.5840 4.4478
Br 7.7700 2.6819 1.8964
Br 4.6452 2.6819 1.8964
Zn 0.0000 0.0000 0.0000
```

Results
* D(E_F): 1.262 states/eV/atom
* uncorrected formation energy: 0.35 eV/atom
* space-group type: No. 216

---

Entry 20:
DFT (SCAN) results for a PBEsol-optimized structure of CdSn3Ir.

extended XYZ file:
```
5
Lattice="-4.6999 1.1094 -1.6663 -0.7065 -4.8979 -1.2682 -1.8731 -0.9363 4.6596" Properties=species:S:1:pos:R:3 pbc="T T T"
Cd -3.6397 -2.3624 0.8625
Sn -2.3499 0.5547 -0.8332
Sn -0.9365 -0.4681 2.3298
Sn -0.3533 -2.4489 -0.6341
Ir 0.0000 0.0000 0.0000
```

Results
* E_form: 5.1 kcal/mol of atoms
* D(E_F): 0.706 states/eV/atom
* space-group type: No. 221